Record 1
Ag3Au12Se5 | PBE | optimized geometry

a = 13.461 Å, b = 13.461 Å, c = 13.461 Å
α = 109.47°, β = 109.47°, γ = 109.47°
Sites, in units of the cell vectors:
Se (0.250, 0.875, 0.125)
Au (0.145, 0.726, 0.561)
Au (0.439, 0.774, 0.855)
Au (0.082, 0.165, 0.226)
Se (0.125, 0.375, 0.250)
Se (0.500, 0.500, 0.500)
Au (0.726, 0.582, 0.165)
Au (0.165, 0.083, 0.939)
Se (0.000, 0.500, 0.000)
Au (0.726, 0.145, 0.061)
Au (0.355, 0.939, 0.774)
Se (0.000, 0.000, 0.000)
Se (0.375, 0.250, 0.125)
Au (0.582, 0.726, 0.665)
Au (0.645, 0.583, 0.918)
Se (0.750, 0.625, 0.375)
Se (0.625, 0.875, 0.250)
Ag (0.250, 0.125, 0.375)
Au (0.274, 0.855, 0.939)
Au (0.418, 0.274, 0.335)
Au (0.917, 0.082, 0.855)
Au (0.835, 0.917, 0.061)
Ag (0.125, 0.875, 0.750)
Au (0.439, 0.665, 0.083)
Se (0.500, 0.000, 0.000)
Se (0.250, 0.375, 0.625)
Au (0.418, 0.145, 0.583)
Se (0.625, 0.750, 0.875)
Au (0.582, 0.855, 0.417)
Au (0.335, 0.774, 0.418)
Au (0.645, 0.061, 0.226)
Se (0.125, 0.750, 0.375)
Ag (0.875, 0.750, 0.125)
Au (0.774, 0.335, 0.918)
Au (0.083, 0.918, 0.145)
Au (0.561, 0.335, 0.917)
Au (0.561, 0.226, 0.145)
Au (0.774, 0.439, 0.355)
Au (0.939, 0.355, 0.274)
Au (0.583, 0.939, 0.665)
Ag (0.625, 0.375, 0.750)
Se (0.750, 0.125, 0.875)
Ag (0.625, 0.250, 0.375)
Ag (0.125, 0.250, 0.875)
Ag (0.375, 0.750, 0.625)
Au (0.918, 0.835, 0.774)
Au (0.855, 0.582, 0.917)
Au (0.165, 0.082, 0.726)
Au (0.917, 0.835, 0.561)
Se (0.500, 0.000, 0.500)
Ag (0.750, 0.875, 0.625)
Au (0.226, 0.665, 0.082)
Au (0.355, 0.417, 0.082)
Au (0.835, 0.918, 0.274)
Se (0.000, 0.000, 0.500)
Ag (0.750, 0.375, 0.125)
Au (0.226, 0.561, 0.645)
Au (0.855, 0.274, 0.439)
Ag (0.375, 0.625, 0.250)
Au (0.335, 0.561, 0.417)
Au (0.083, 0.165, 0.439)
Au (0.061, 0.417, 0.835)
Au (0.061, 0.645, 0.726)
Se (0.500, 0.500, 0.000)
Au (0.417, 0.061, 0.335)
Se (0.875, 0.250, 0.625)
Se (0.875, 0.625, 0.750)
Ag (0.875, 0.125, 0.250)
Au (0.082, 0.917, 0.355)
Se (0.000, 0.500, 0.500)
Au (0.145, 0.418, 0.083)
Au (0.665, 0.226, 0.582)
Au (0.665, 0.439, 0.583)
Au (0.939, 0.583, 0.165)
Au (0.274, 0.418, 0.835)
Au (0.918, 0.083, 0.645)
Au (0.583, 0.645, 0.418)
Au (0.417, 0.355, 0.582)
Ag (0.250, 0.625, 0.875)
Se (0.375, 0.125, 0.750)

Properties
uncorrected formation energy	175.3	meV per atom
DOS at the Fermi energy	44.1	states/eV per cell
space group	No. 230

Record 2
CaSi2Ni | PBE | optimized geometry

a = 4.513 Å, b = 4.513 Å, c = 4.513 Å
α = 60.00°, β = 60.00°, γ = 60.00°
Sites, in units of the cell vectors:
Ca (0.500, 0.500, 0.500)
Si (0.000, 0.000, 0.000)
Ni (0.750, 0.750, 0.750)
Si (0.250, 0.250, 0.250)

Properties
uncorrected formation energy	94.6	meV per atom
DOS at the Fermi energy	0.8	states/eV per cell
space group	No. 216

Record 3
BaAcIr | PBE | optimized geometry

a = 7.190 Å, b = 4.458 Å, c = 4.458 Å
α = 120.00°, β = 90.00°, γ = 90.00°
Sites, in units of the cell vectors:
Ac (0.214, 0.333, 0.667)
Ir (0.022, 0.000, 0.000)
Ba (0.764, 0.667, 0.333)

Properties
formation energy	-8.70	kcal/mol of atoms
DOS at the Fermi energy	1.1	states/eV per cell
E above lowest polymorph	0.04	kcal/mol of atoms
space group	No. 156